Material: Li2NiW2O8
Method: DFT, GGA-PBEsol
State: relaxed

Volume: 10.1 Å³/atom
SG: P-1
Raw formation energy: -1966.3 meV/atom
Uncorrected energy: -105.26 eV per formula unit

a b c (Å): 4.8832 5.5407 5.7935
angles (deg): 108.84 91.32 115.39
Last column: nearest neighbours and their distance in Å.
Element x y z (fractional)
1 Li 0.0364 0.0712 0.2452  4 O 1.96-2.08
2 Li 0.9636 0.9288 0.7548  4 O 1.96-2.08
3 Ni 0.5000 0.0000 0.5000  6 O 1.99-2.11
4 W 0.2587 0.5296 0.8318  4 O 1.79-2.00
5 W 0.7413 0.4704 0.1682  4 O 1.79-2.00
6 O 0.0386 0.7272 0.9606  1 W 1.85, 1 Li 2.00
7 O 0.0433 0.7636 0.4260  1 W 1.82, 1 Li 1.96, 1 Ni 1.99
8 O 0.4544 0.2773 0.8285  2 W 2.00-2.05, 1 Ni 2.11
9 O 0.4926 0.2453 0.3150  1 W 1.79, 1 Li 1.98, 1 Ni 1.99
10 O 0.5074 0.7547 0.6850  1 W 1.79, 1 Li 1.98, 1 Ni 1.99
11 O 0.5456 0.7227 0.1715  2 W 2.00-2.05, 1 Ni 2.11
12 O 0.9567 0.2364 0.5740  1 W 1.82, 1 Li 1.96, 1 Ni 1.99
13 O 0.9614 0.2728 0.0394  1 W 1.85, 1 Li 2.00

Material: CaAl2Cd
Method: DFT, GGA-PBEsol
State: relaxed

Volume: 20.7 Å³/atom
SG: F-43m
ΔE_f: -0.09 eV per atom
Uncorrected energy: -11.87 eV per formula unit

a b c (Å): 4.8908 4.8908 4.8908
angles (deg): 60.00 60.00 60.00
Last column: nearest neighbours and their distance in Å.
Element x y z (fractional)
1 Ca 0.0000 0.0000 0.0000  4 Al 3.00, 4 Cd 3.00
2 Al 0.5000 0.5000 0.5000  4 Al 3.00, 4 Cd 3.00
3 Al 0.7500 0.7500 0.7500  4 Ca 3.00, 4 Al 3.00
4 Cd 0.2500 0.2500 0.2500  4 Ca 3.00, 4 Al 3.00

Material: TlNiW2
Method: DFT, GGA-PBEsol
State: relaxed

Volume: 16.1 Å³/atom
SG: P4mm
ΔE_f: 0.50 eV per atom
Uncorrected energy: -34.42 eV per formula unit

a b c (Å): 3.2216 3.2216 6.1891
angles (deg): 90.00 90.00 90.00
Last column: nearest neighbours and their distance in Å.
Element x y z (fractional)
1 Tl 0.0000 0.0000 0.0000  4 Ni 2.73, 5 W 2.93-3.00
2 Ni 0.5000 0.5000 0.7566  5 W 2.69-2.74, 4 Tl 2.73
3 W 0.0000 0.0000 0.5259  4 W 2.63, 4 Ni 2.69, 1 Tl 2.93
4 W 0.5000 0.5000 0.3144  4 W 2.63, 1 Ni 2.74

Material: CaSi2Br
Method: DFT, GGA-PBEsol
State: relaxed

Volume: 23.8 Å³/atom
SG: P2/m
Raw formation energy: -362.3 meV/atom
Uncorrected energy: -16.95 eV per formula unit

a b c (Å): 3.8150 6.0500 4.1331
angles (deg): 90.00 94.76 90.00
Last column: nearest neighbours and their distance in Å.
Element x y z (fractional)
1 Ca 0.0000 0.0000 0.0000  4 Br 2.69-2.93
2 Si 0.2225 0.5000 0.8271  2 Si 2.31-2.45
3 Si 0.7775 0.5000 0.1729  2 Si 2.31-2.45
4 Br 0.5000 0.0000 0.5000  4 Ca 2.69-2.93

Material: MnCu2Pb
Method: DFT, GGA-PBEsol
State: relaxed

Volume: 15.8 Å³/atom
SG: Cm
ΔE_f: 0.42 eV per atom
Uncorrected energy: -20.75 eV per formula unit

a b c (Å): 4.5656 4.5656 4.7550
angles (deg): 103.22 103.22 41.19
Last column: nearest neighbours and their distance in Å.
Element x y z (fractional)
1 Mn 0.0000 0.0000 0.0000  5 Cu 2.56-2.64, 1 Pb 2.75
2 Cu 0.2612 0.2612 0.7979  3 Cu 2.57-2.67, 3 Mn 2.59-2.64, 2 Pb 2.84
3 Cu 0.5264 0.5264 0.5961  2 Mn 2.56, 3 Cu 2.57-2.67, 3 Pb 2.73-2.81
4 Pb 0.7665 0.7665 0.3082  7 Cu 2.73-2.90, 3 Mn 2.75-2.88

Material: ZnMo2Se
Method: DFT, GGA-PBEsol
State: relaxed

Volume: 15.5 Å³/atom
SG: P2/m
Raw formation energy: 366.0 meV/atom
Uncorrected energy: -27.50 eV per formula unit

a b c (Å): 2.8290 4.2085 5.2193
angles (deg): 90.00 95.57 90.00
Last column: nearest neighbours and their distance in Å.
Element x y z (fractional)
1 Zn 0.0000 0.0000 0.0000  4 Mo 2.66, 2 Zn 2.83, 2 Se 2.85
2 Mo 0.3354 0.5000 0.7627  3 Mo 2.56-2.83, 2 Se 2.58, 2 Zn 2.66
3 Mo 0.6646 0.5000 0.2373  3 Mo 2.56-2.83, 2 Se 2.58, 2 Zn 2.66
4 Se 0.5000 0.0000 0.5000  4 Mo 2.58, 2 Se 2.83, 2 Zn 2.85

Material: MgTaCl2
Method: DFT, GGA-PBEsol
State: relaxed

Volume: 17.1 Å³/atom
SG: Cmmm
Raw formation energy: 187.9 meV/atom
Uncorrected energy: -17.53 eV per formula unit

a b c (Å): 4.8484 4.8484 2.9972
angles (deg): 90.00 90.00 103.98
Last column: nearest neighbours and their distance in Å.
Element x y z (fractional)
1 Mg 0.0000 0.0000 0.0000  8 Cl 2.85, 2 Ta 2.99, 2 Mg 3.00
2 Ta 0.5000 0.5000 0.0000  8 Cl 2.85, 2 Mg 2.99, 2 Ta 3.00
3 Cl 0.0000 0.5000 0.5000  4 Ta 2.85, 4 Mg 2.85, 4 Cl 2.99-3.00
4 Cl 0.5000 0.0000 0.5000  4 Ta 2.85, 4 Mg 2.85, 4 Cl 2.99-3.00

Material: In3SeO
Method: DFT, GGA-PBEsol
State: relaxed

Volume: 30.8 Å³/atom
SG: Pm-3m
Raw formation energy: 720.3 meV/atom
Uncorrected energy: -14.45 eV per formula unit

a b c (Å): 5.3582 5.3582 5.3582
angles (deg): 90.00 90.00 90.00
Last column: nearest neighbours and their distance in Å.
Element x y z (fractional)
1 In 0.0000 0.0000 0.5000  2 Se 2.68
2 In 0.0000 0.5000 0.0000  2 Se 2.68
3 In 0.5000 0.0000 0.0000  2 Se 2.68
4 Se 0.0000 0.0000 0.0000  6 In 2.68
5 O 0.5000 0.5000 0.5000  12 In 3.79

Material: Y2ZnF2
Method: DFT, GGA-PBEsol
State: relaxed

Volume: 17.0 Å³/atom
SG: I4/mmm
Raw formation energy: -2286.5 meV/atom
Uncorrected energy: -30.51 eV per formula unit

a b c (Å): 7.1002 7.1002 7.1002
angles (deg): 150.82 150.82 41.74
Last column: nearest neighbours and their distance in Å.
Element x y z (fractional)
1 Y 0.1336 0.1336 0.0000  4 F 2.36
2 Y 0.8664 0.8664 0.0000  4 F 2.36
3 Zn 0.5000 0.5000 0.0000  8 Y 3.09
4 F 0.2500 0.7500 0.5000  4 Y 2.36, 4 F 2.53
5 F 0.7500 0.2500 0.5000  4 Y 2.36, 4 F 2.53

Material: CuAg3
Method: DFT, GGA-PBEsol
State: relaxed

Volume: 15.4 Å³/atom
SG: R-3m
ΔE_f: 0.07 eV per atom
Uncorrected energy: -13.97 eV per formula unit

a b c (Å): 9.0849 9.0849 9.0849
angles (deg): 17.87 17.87 17.87
Last column: nearest neighbours and their distance in Å.
Element x y z (fractional)
1 Cu 0.0000 0.0000 0.0000  6 Ag 2.66, 6 Cu 2.82
2 Ag 0.2549 0.2549 0.2549  3 Cu 2.66, 9 Ag 2.82-2.87
3 Ag 0.5000 0.5000 0.5000  12 Ag 2.82-2.87
4 Ag 0.7451 0.7451 0.7451  3 Cu 2.66, 9 Ag 2.82-2.87

Material: VPd3
Method: DFT, GGA-PBEsol
State: relaxed

Volume: 14.0 Å³/atom
SG: I4/mmm
ΔE_f: -0.28 eV per atom
Uncorrected energy: -28.61 eV per formula unit

a b c (Å): 4.6978 4.6978 4.6978
angles (deg): 132.17 132.17 69.96
Last column: nearest neighbours and their distance in Å.
Element x y z (fractional)
1 V 0.0000 0.0000 0.0000  12 Pd 2.69-2.71
2 Pd 0.2500 0.7500 0.5000  8 Pd 2.69-2.71, 4 V 2.71
3 Pd 0.5000 0.5000 0.0000  4 V 2.69, 8 Pd 2.71
4 Pd 0.7500 0.2500 0.5000  8 Pd 2.69-2.71, 4 V 2.71

Material: LiAsCl2
Method: DFT, GGA-PBEsol
State: relaxed

Volume: 20.8 Å³/atom
SG: Immm
Raw formation energy: -533.0 meV/atom
Uncorrected energy: -13.22 eV per formula unit

a b c (Å): 5.2529 5.2529 5.2529
angles (deg): 141.65 107.05 85.56
Last column: nearest neighbours and their distance in Å.
Element x y z (fractional)
1 Li 0.0000 0.0000 0.0000  4 Cl 2.61
2 As 0.5000 0.5000 0.0000  4 Cl 2.56
3 Cl 0.2542 0.7542 0.5000  2 As 2.56, 2 Li 2.61
4 Cl 0.7458 0.2458 0.5000  2 As 2.56, 2 Li 2.61